1.
Computed, not measured: an optimized crystal structure of Pa2TcSe at the PBE level of DFT.

The space group is R-3m (No. 166, hexagonal axes) and the conventional cell measures 3.9449, 3.9449 and 21.2381 Å, with angles of 90.00, 90.00 and 120.00 degrees. The asymmetric unit holds Pa at (0.0000, 0.0000, 0.2400), Tc at (0.0000, 0.0000, 0.5000) and Se at (0.0000, 0.0000, 0.0000).

The raw formation energy is -2.63 eV per formula unit. Its volume is 286 Å³/cell.

=====

2.
Computed, not measured: an optimized crystal structure of ZrRe2Te at the PBE level of DFT.

The space group is Cm (No. 8) and the conventional cell measures 9.9693, 3.2307 and 4.8564 Å, with angles of 90.00, 109.04 and 90.00 degrees. The asymmetric unit holds Zr at (0.0000, 0.0000, 0.0000), Re at (0.0123, 0.5000, 0.5355), Re at (0.2280, 0.0000, 0.6514) and Te at (0.2667, 0.5000, 0.2250).

The raw formation energy is 0.92 eV per formula unit. Its volume is 148 Å³/cell.

=====

3.
Computed, not measured: an optimized crystal structure of TbYAsO2 at the PBE level of DFT.

The space group is I4mm (No. 107) and the conventional cell measures 3.8091, 3.8091 and 12.8950 Å, with angles of 90.00, 90.00 and 90.00 degrees. The asymmetric unit holds Tb at (0.0000, 0.0000, 0.0000), Y at (0.0000, 0.0000, 0.6794), As at (0.0000, 0.0000, 0.3393) and O at (0.0000, 0.5000, 0.0899).

The raw formation energy is -13.33 eV per formula unit. Its volume is 187 Å³/cell.

=====

4.
Computed, not measured: an optimized crystal structure of CaNiBr at the PBE level of DFT.

The space group is I4mm (No. 107) and the conventional cell measures 3.4599, 3.4599 and 11.0660 Å, with angles of 90.00, 90.00 and 90.00 degrees. The asymmetric unit holds Ca at (0.0000, 0.0000, 0.0000), Ni at (0.0000, 0.0000, 0.3444) and Br at (0.0000, 0.0000, 0.6690).

The raw formation energy is -0.82 eV per formula unit. Its volume is 132 Å³/cell.

=====

5.
Computed, not measured: an optimized crystal structure of AlCoAu2 at the PBE level of DFT.

The space group is I-4m2 (No. 119) and the conventional cell measures 3.9475, 3.9475 and 7.7726 Å, with angles of 90.00, 90.00 and 90.00 degrees. The asymmetric unit holds Al at (0.0000, 0.0000, 0.0000), Co at (0.0000, 0.5000, 0.2500), Au at (0.0000, 0.0000, 0.5000) and Au at (0.0000, 0.5000, 0.7500).

Its total DFT energy (no corrections) is -4.432 eV per atom. Its volume is 121 Å³/cell.

=====

6.
Computed, not measured: an optimized crystal structure of Nd2CdPd2 at the PBE level of DFT.

The space group is P4/mbm (No. 127) and the conventional cell measures 7.7773, 7.7773 and 3.9697 Å, with angles of 90.00, 90.00 and 90.00 degrees. The asymmetric unit holds Nd at (0.1739, 0.3261, 0.0000), Cd at (0.0000, 0.0000, 0.5000) and Pd at (0.1276, 0.6276, 0.5000).

Its total DFT energy (no corrections) is -4.902 eV per atom. Its volume is 240 Å³/cell.

=====

7.
Computed, not measured: an optimized crystal structure of UTl2Se2I4 at the PBE level of DFT.

The space group is C2/m (No. 12) and the conventional cell measures 13.1498, 8.1288 and 8.2404 Å, with angles of 90.00, 124.30 and 90.00 degrees. The asymmetric unit holds U at (0.0000, 0.0000, 0.0000), Tl at (0.2268, 0.0000, 0.7427), Se at (0.2267, 0.0000, 0.1308) and I at (0.0475, 0.2536, 0.2971).

The raw formation energy is -5.82 eV per formula unit. Its volume is 728 Å³/cell.

=====

8.
Computed, not measured: an optimized crystal structure of NaLiDy2Tl4 at the PBE level of DFT.

The space group is R-3m (No. 166, hexagonal axes) and the conventional cell measures 5.2698, 5.2698 and 25.6888 Å, with angles of 90.00, 90.00 and 120.00 degrees. The asymmetric unit holds Na at (0.0000, 0.0000, 0.0000), Li at (0.0000, 0.0000, 0.5000), Dy at (0.0000, 0.0000, 0.2499), Tl at (0.0000, 0.0000, 0.1265) and Tl at (0.0000, 0.0000, 0.3769).

Its total DFT energy (no corrections) is -3.007 eV per atom. Its volume is 618 Å³/cell.